[1]
CrCuSb | GGA-PBE | relaxed

Lattice parameters (Å, degrees): 3.2413 3.2413 6.0668 90.00 90.00 120.00
Last column: nearest neighbours and their distance in Å.
Positions (direct):
Cr (0.0000, 0.0000, 0.0198)  3 Cu 2.59, 3 Sb 2.86
Cu (0.6667, 0.3333, 0.3158)  3 Cr 2.59, 3 Sb 2.82
Sb (0.3333, 0.6667, 0.6644)  3 Cu 2.82, 3 Cr 2.86

Computed properties:
DOS at the Fermi energy in states/eV per atom: 0.879
Relative energy among the computed polymorphs in eV per formula unit: 1.07
Formation energy from raw total energies in kJ/mol of atoms: 48.9

[2]
CrCuSb | GGA-PBE | relaxed

Lattice parameters (Å, degrees): 4.7406 4.7409 3.6141 67.59 67.59 44.81
Last column: nearest neighbours and their distance in Å.
Positions (direct):
Cr (0.0020, 0.0020, 0.9980)  5 Cu 2.67-2.88, 5 Sb 2.71-2.86
Cu (0.3359, 0.3359, 0.6641)  5 Sb 2.60-2.91, 5 Cr 2.67-2.88
Sb (0.6621, 0.6621, 0.3379)  5 Cu 2.60-2.91, 5 Cr 2.71-2.86

Computed properties:
DOS at the Fermi energy in states/eV per atom: 0.718
Relative energy among the computed polymorphs in eV per formula unit: 0.49
Formation energy from raw total energies in kJ/mol of atoms: 30.0

[3]
Cr2Cu2Sb | GGA-PBE | relaxed

Lattice parameters (Å, degrees): 3.5126 3.5126 6.5192 74.37 74.37 90.00
Last column: nearest neighbours and their distance in Å.
Positions (direct):
Sb (0.0000, 0.0000, 0.0000)  8 Cr 2.72
Cu (0.7500, 0.2500, 0.5000)  4 Cu 2.48, 4 Cr 2.58
Cu (0.2500, 0.7500, 0.5000)  4 Cu 2.48, 4 Cr 2.58
Cr (0.4071, 0.4071, 0.1858)  1 Cr 2.24
Cr (0.5929, 0.5929, 0.8142)  1 Cr 2.24

Computed properties:
DOS at the Fermi energy in states/eV per atom: 0.629
Relative energy among the computed polymorphs in eV per formula unit: 0.60
Formation energy from raw total energies in kJ/mol of atoms: 54.0

[4]
CrCu2Sb | GGA-PBE | relaxed

Lattice parameters (Å, degrees): 3.8611 3.8637 4.0611 90.00 90.00 90.00
Last column: nearest neighbours and their distance in Å.
Positions (direct):
Cr (0.0000, 0.5000, 0.5000)  4 Sb 2.73, 8 Cu 2.80
Cu (0.0000, 0.0000, 0.0000)  4 Cu 2.73, 4 Sb 2.80, 4 Cr 2.80
Cu (0.5000, 0.5000, 0.0000)  4 Cu 2.73, 4 Cr 2.80, 4 Sb 2.80
Sb (0.5000, 0.0000, 0.5000)  4 Cr 2.73, 8 Cu 2.80

Computed properties:
DOS at the Fermi energy in states/eV per atom: 0.708
Formation energy from raw total energies in kJ/mol of atoms: 17.2

[5]
CrCuSb | GGA-PBE | relaxed

Lattice parameters (Å, degrees): 3.8924 3.8924 6.3991 90.00 90.00 90.00
Last column: nearest neighbours and their distance in Å.
Positions (direct):
Sb (0.0000, 0.5000, 0.2022)  5 Cu 2.71-2.76, 4 Cr 2.72
Sb (0.5000, 0.0000, 0.7978)  5 Cu 2.71-2.76, 4 Cr 2.72
Cu (0.0000, 0.5000, 0.7781)  4 Cr 2.64, 5 Sb 2.71-2.76
Cu (0.5000, 0.0000, 0.2219)  4 Cr 2.64, 5 Sb 2.71-2.76
Cr (0.0000, 0.0000, 0.5000)  4 Cu 2.64, 4 Sb 2.72, 4 Cr 2.75
Cr (0.5000, 0.5000, 0.5000)  4 Cu 2.64, 4 Sb 2.72, 4 Cr 2.75

Computed properties:
DOS at the Fermi energy in states/eV per atom: 1.186
Relative energy among the computed polymorphs in eV per formula unit: 0.00
Formation energy from raw total energies in kJ/mol of atoms: 14.4

[6]
CrCu2Sb | GGA-PBE | relaxed

Lattice parameters (Å, degrees): 4.4591 5.4904 2.9466 74.56 89.71 113.87
Last column: nearest neighbours and their distance in Å.
Positions (direct):
Cr (0.5000, 0.5000, 0.0000)  4 Sb 2.67-2.68, 4 Cu 2.75, 2 Cr 2.95
Cu (0.0000, 0.0000, 0.0000)  6 Cu 2.67-2.95, 2 Cr 2.75, 2 Sb 2.75
Cu (0.5000, 0.0000, 0.5000)  6 Cu 2.67-2.95, 2 Sb 2.75, 2 Cr 2.75
Sb (0.0000, 0.5000, 0.5000)  4 Cr 2.67-2.68, 4 Cu 2.75, 2 Sb 2.95

Computed properties:
DOS at the Fermi energy in states/eV per atom: 0.551
Formation energy from raw total energies in kJ/mol of atoms: 36.6

[7]
CrCu2Sb | GGA-PBE | relaxed

Lattice parameters (Å, degrees): 4.2692 3.0431 5.1775 90.12 90.00 90.00
Last column: nearest neighbours and their distance in Å.
Positions (direct):
Cr (0.5000, 0.7500, 0.7500)  8 Cu 2.86-2.88, 4 Sb 3.00-3.01, 2 Cr 3.04
Cu (0.0000, 0.2448, 0.9746)  1 Cu 2.33, 2 Sb 2.57
Cu (0.0000, 0.2552, 0.5254)  1 Cu 2.33, 2 Sb 2.57
Sb (0.5000, 0.2500, 0.2500)  4 Cu 2.57

Computed properties:
DOS at the Fermi energy in states/eV per atom: 0.396
Formation energy from raw total energies in kJ/mol of atoms: 27.8

[8]
CrCu2Sb | GGA-PBE | relaxed

Lattice parameters (Å, degrees): 3.0539 3.7020 5.6283 90.00 90.00 90.00
Last column: nearest neighbours and their distance in Å.
Positions (direct):
Cr (0.5000, 0.5000, 0.7618)  5 Cu 2.52-2.80, 4 Sb 2.79
Cu (0.0000, 0.0000, 0.0177)  4 Cu 2.63, 2 Sb 2.77-2.86, 4 Cr 2.80
Cu (0.5000, 0.5000, 0.2101)  1 Cr 2.52, 4 Cu 2.63
Sb (0.0000, 0.0000, 0.5103)  6 Cu 2.77-2.93, 4 Cr 2.79, 2 Sb 3.05

Computed properties:
DOS at the Fermi energy in states/eV per atom: 0.461
Formation energy from raw total energies in kJ/mol of atoms: 27.6

[9]
CrCuSb | GGA-PBE | relaxed

Lattice parameters (Å, degrees): 4.3088 4.3088 4.3088 60.00 60.00 60.00
Last column: nearest neighbours and their distance in Å.
Positions (direct):
Cr (0.5000, 0.5000, 0.5000)  4 Cu 2.64
Cu (0.7500, 0.7500, 0.7500)  4 Cr 2.64, 4 Sb 2.64
Sb (0.0000, 0.0000, 0.0000)  4 Cu 2.64

Computed properties:
DOS at the Fermi energy in states/eV per atom: 0.363
Relative energy among the computed polymorphs in eV per formula unit: 0.07
Formation energy from raw total energies in kJ/mol of atoms: 16.8

[10]
CrCu2Sb | GGA-PBE | relaxed

Lattice parameters (Å, degrees): 4.4547 4.4547 4.4547 60.00 60.00 60.00
Last column: nearest neighbours and their distance in Å.
Positions (direct):
Cr (0.5000, 0.5000, 0.5000)  4 Sb 2.73, 4 Cu 2.73
Cu (0.0000, 0.0000, 0.0000)  4 Cu 2.73, 4 Sb 2.73
Cu (0.2500, 0.2500, 0.2500)  4 Cr 2.73, 4 Cu 2.73
Sb (0.7500, 0.7500, 0.7500)  4 Cu 2.73, 4 Cr 2.73

Computed properties:
DOS at the Fermi energy in states/eV per atom: 0.476
Formation energy from raw total energies in kJ/mol of atoms: 24.0

[11]
CrCuSb | GGA-PBE | relaxed

Lattice parameters (Å, degrees): 4.3002 4.3002 3.3418 90.00 90.00 120.00
Last column: nearest neighbours and their distance in Å.
Positions (direct):
Cr (0.0000, 0.0000, 0.0214)  3 Cu 2.78, 3 Sb 2.88
Cu (0.6667, 0.3333, 0.3935)  3 Sb 2.56, 3 Cr 2.78
Sb (0.3333, 0.6667, 0.5850)  3 Cu 2.56

Computed properties:
DOS at the Fermi energy in states/eV per atom: 0.480
Relative energy among the computed polymorphs in eV per formula unit: 0.55
Formation energy from raw total energies in kJ/mol of atoms: 32.2

[12]
CrCu2Sb2 | GGA-PBE | relaxed

Lattice parameters (Å, degrees): 8.1130 8.1130 8.1130 155.12 155.12 35.48
Last column: nearest neighbours and their distance in Å.
Positions (direct):
Cr (0.0000, 0.0000, 0.0000)  8 Sb 3.00
Cu (0.2500, 0.7500, 0.5000)  4 Cu 2.47
Cu (0.7500, 0.2500, 0.5000)  4 Cu 2.47
Sb (0.6100, 0.6100, 0.0000)  4 Cu 2.78, 4 Cr 3.00
Sb (0.3900, 0.3900, 0.0000)  4 Cu 2.78, 4 Cr 3.00

Computed properties:
DOS at the Fermi energy in states/eV per atom: 0.515
Formation energy from raw total energies in kJ/mol of atoms: 26.7

[13]
CrCu2Sb | GGA-PBE | relaxed

Lattice parameters (Å, degrees): 4.8344 4.8344 4.8344 131.62 131.53 70.91
Last column: nearest neighbours and their distance in Å.
Positions (direct):
Cr (0.2499, 0.7499, 0.5000)  8 Cu 2.79-2.80, 4 Sb 2.79
Cu (0.9998, 0.9998, 0.0000)  4 Cu 2.79-2.80, 4 Cr 2.79-2.80, 4 Sb 2.80
Cu (0.7501, 0.2501, 0.5000)  4 Cu 2.79-2.80, 4 Sb 2.79-2.80, 4 Cr 2.80
Sb (0.5001, 0.5001, 0.0000)  8 Cu 2.79-2.80, 4 Cr 2.79

Computed properties:
DOS at the Fermi energy in states/eV per atom: 0.648
Formation energy from raw total energies in kJ/mol of atoms: 21.1

[14]
Cr2Cu2Sb | GGA-PBE | relaxed

Lattice parameters (Å, degrees): 6.4417 6.4417 3.6053 90.00 90.00 90.00
Last column: nearest neighbours and their distance in Å.
Positions (direct):
Sb (0.0000, 0.0000, 0.0000)  4 Cr 2.62
Sb (0.5000, 0.5000, 0.0000)  4 Cr 2.62
Cu (0.1791, 0.6791, 0.5000)  6 Cr 2.62-2.65
Cu (0.6791, 0.8209, 0.5000)  6 Cr 2.62-2.65
Cu (0.8209, 0.3209, 0.5000)  6 Cr 2.62-2.65
Cu (0.3209, 0.1791, 0.5000)  6 Cr 2.62-2.65
Cr (0.3926, 0.8926, 0.0000)  1 Cr 1.96
Cr (0.8926, 0.6074, 0.0000)  1 Cr 1.96
Cr (0.6074, 0.1074, 0.0000)  1 Cr 1.96
Cr (0.1074, 0.3926, 0.0000)  1 Cr 1.96

Computed properties:
DOS at the Fermi energy in states/eV per atom: 0.628
Relative energy among the computed polymorphs in eV per formula unit: 0.00
Formation energy from raw total energies in kJ/mol of atoms: 42.5